Entry 1:
Below is a geometry-optimized PmZnGa structure, with properties calculated at the GGA-PBE level.

Calculated values
formation enthalpy at 0 K: -1.49 eV/f.u.
total energy: -3.52 eV/atom
energy above the lowest structure with this stoichiometry: 0.050 eV/atom

CIF file:
```
data_PmZnGa
_space_group_name_H-M_alt 'P 1'
_space_group_IT_number 1
_space_group_name_Hall 'P 1'
_cell_length_a 8.153
_cell_length_b 8.153
_cell_length_c 8.153
_cell_angle_alpha 150.09
_cell_angle_beta 150.09
_cell_angle_gamma 42.81
loop_
_atom_site_label
_atom_site_fract_x
_atom_site_fract_y
_atom_site_fract_z
Pm1 0.000 0.000 0.000
Pm2 0.750 0.250 0.500
Zn1 0.168 0.668 0.500
Zn2 0.332 0.832 0.500
Ga1 0.417 0.417 0.000
Ga2 0.583 0.583 0.000
```

=====

Entry 2:
Below is a geometry-optimized Pm2Zn3Ga6 structure, with properties calculated at the GGA-PBE level.

Calculated values
formation enthalpy at 0 K: -3.07 eV/f.u.
total energy: -3.14 eV/atom

CIF file:
```
data_Pm2Zn3Ga6
_space_group_name_H-M_alt 'P 1'
_space_group_IT_number 1
_space_group_name_Hall 'P 1'
_cell_length_a 7.536
_cell_length_b 7.536
_cell_length_c 3.973
_cell_angle_alpha 90.00
_cell_angle_beta 90.00
_cell_angle_gamma 99.63
loop_
_atom_site_label
_atom_site_fract_x
_atom_site_fract_y
_atom_site_fract_z
Pm1 0.203 0.797 0.000
Pm2 0.797 0.203 0.000
Zn1 0.299 0.299 0.000
Zn2 0.500 0.500 0.500
Zn3 0.701 0.701 0.000
Ga1 0.121 0.121 0.500
Ga2 0.151 0.460 0.500
Ga3 0.460 0.151 0.500
Ga4 0.540 0.849 0.500
Ga5 0.849 0.540 0.500
Ga6 0.879 0.879 0.500
```

=====

Entry 3:
Below is a geometry-optimized Pm5ZnGa2 structure, with properties calculated at the GGA-PBE level.

Calculated values
formation enthalpy at 0 K: -2.85 eV/f.u.
total energy: -4.24 eV/atom

CIF file:
```
data_Pm5ZnGa2
_space_group_name_H-M_alt 'P 1'
_space_group_IT_number 1
_space_group_name_Hall 'P 1'
_cell_length_a 9.304
_cell_length_b 9.304
_cell_length_c 9.304
_cell_angle_alpha 131.22
_cell_angle_beta 131.22
_cell_angle_gamma 71.46
loop_
_atom_site_label
_atom_site_fract_x
_atom_site_fract_y
_atom_site_fract_z
Pm1 0.000 0.000 0.000
Pm2 0.026 0.526 0.847
Pm3 0.179 0.026 0.500
Pm4 0.321 0.821 0.847
Pm5 0.474 0.321 0.500
Pm6 0.500 0.500 0.000
Pm7 0.526 0.679 0.500
Pm8 0.679 0.179 0.153
Pm9 0.821 0.974 0.500
Pm10 0.974 0.474 0.153
Zn1 0.250 0.250 0.000
Zn2 0.750 0.750 0.000
Ga1 0.118 0.382 0.500
Ga2 0.382 0.882 0.264
Ga3 0.618 0.118 0.736
Ga4 0.882 0.618 0.500
```

=====

Entry 4:
Below is a geometry-optimized Pm2Zn15Ga2 structure, with properties calculated at the GGA-PBE level.

Calculated values
formation enthalpy at 0 K: -4.72 eV/f.u.
total energy: -2.07 eV/atom

CIF file:
```
data_Pm2Zn15Ga2
_space_group_name_H-M_alt 'P 1'
_space_group_IT_number 1
_space_group_name_Hall 'P 1'
_cell_length_a 6.844
_cell_length_b 6.844
_cell_length_c 6.844
_cell_angle_alpha 83.74
_cell_angle_beta 83.74
_cell_angle_gamma 83.74
loop_
_atom_site_label
_atom_site_fract_x
_atom_site_fract_y
_atom_site_fract_z
Pm1 0.166 0.166 0.166
Pm2 0.834 0.834 0.834
Zn1 0.000 0.500 0.500
Zn2 0.150 0.150 0.667
Zn3 0.150 0.667 0.150
Zn4 0.195 0.500 0.805
Zn5 0.195 0.805 0.500
Zn6 0.333 0.850 0.850
Zn7 0.500 0.000 0.500
Zn8 0.500 0.195 0.805
Zn9 0.500 0.500 0.000
Zn10 0.500 0.805 0.195
Zn11 0.667 0.150 0.150
Zn12 0.805 0.195 0.500
Zn13 0.805 0.500 0.195
Zn14 0.850 0.333 0.850
Zn15 0.850 0.850 0.333
Ga1 0.401 0.401 0.401
Ga2 0.599 0.599 0.599
```

=====

Entry 5:
Below is a geometry-optimized PmZn2Ga structure, with properties calculated at the GGA-PBE level.

Calculated values
formation enthalpy at 0 K: -1.27 eV/f.u.
total energy: -2.90 eV/atom

CIF file:
```
data_PmZn2Ga
_space_group_name_H-M_alt 'P 1'
_space_group_IT_number 1
_space_group_name_Hall 'P 1'
_cell_length_a 4.277
_cell_length_b 4.277
_cell_length_c 4.500
_cell_angle_alpha 90.00
_cell_angle_beta 90.00
_cell_angle_gamma 90.00
loop_
_atom_site_label
_atom_site_fract_x
_atom_site_fract_y
_atom_site_fract_z
Pm1 0.000 0.000 0.000
Zn1 0.000 0.500 0.500
Zn2 0.500 0.000 0.500
Ga1 0.500 0.500 0.000
```

=====

Entry 6:
Below is a geometry-optimized PmZn7Ga5 structure, with properties calculated at the GGA-PBE level.

Calculated values
formation enthalpy at 0 K: -1.49 eV/f.u.
total energy: -2.33 eV/atom

CIF file:
```
data_PmZn7Ga5
_space_group_name_H-M_alt 'P 1'
_space_group_IT_number 1
_space_group_name_Hall 'P 1'
_cell_length_a 6.909
_cell_length_b 6.909
_cell_length_c 6.909
_cell_angle_alpha 130.69
_cell_angle_beta 99.52
_cell_angle_gamma 100.53
loop_
_atom_site_label
_atom_site_fract_x
_atom_site_fract_y
_atom_site_fract_z
Pm1 0.000 0.000 0.000
Zn1 0.222 0.498 0.724
Zn2 0.355 0.355 0.000
Zn3 0.356 0.999 0.357
Zn4 0.642 0.642 0.000
Zn5 0.642 0.999 0.643
Zn6 0.774 0.498 0.276
Zn7 0.785 0.285 0.500
Ga1 0.214 0.714 0.500
Ga2 0.502 0.000 0.006
Ga3 0.502 0.496 0.502
Ga4 0.994 0.000 0.498
Ga5 0.994 0.496 0.994
```

=====

Entry 7:
Below is a geometry-optimized Pm6ZnGa structure, with properties calculated at the GGA-PBE level.

Calculated values
formation enthalpy at 0 K: -1.68 eV/f.u.
total energy: -4.31 eV/atom

CIF file:
```
data_Pm6ZnGa
_space_group_name_H-M_alt 'P 1'
_space_group_IT_number 1
_space_group_name_Hall 'P 1'
_cell_length_a 9.584
_cell_length_b 9.584
_cell_length_c 9.584
_cell_angle_alpha 148.75
_cell_angle_beta 148.75
_cell_angle_gamma 44.78
loop_
_atom_site_label
_atom_site_fract_x
_atom_site_fract_y
_atom_site_fract_z
Pm1 0.103 0.603 0.500
Pm2 0.249 0.249 0.000
Pm3 0.397 0.897 0.500
Pm4 0.603 0.103 0.500
Pm5 0.751 0.751 0.000
Pm6 0.897 0.397 0.500
Zn1 0.500 0.500 0.000
Ga1 0.000 0.000 0.000
```

=====

Entry 8:
Below is a geometry-optimized Pm3Zn2Ga4 structure, with properties calculated at the GGA-PBE level.

Calculated values
formation enthalpy at 0 K: -5.37 eV/f.u.
total energy: -3.81 eV/atom

CIF file:
```
data_Pm3Zn2Ga4
_space_group_name_H-M_alt 'P 1'
_space_group_IT_number 1
_space_group_name_Hall 'P 1'
_cell_length_a 5.881
_cell_length_b 5.881
_cell_length_c 8.586
_cell_angle_alpha 106.97
_cell_angle_beta 106.97
_cell_angle_gamma 44.28
loop_
_atom_site_label
_atom_site_fract_x
_atom_site_fract_y
_atom_site_fract_z
Pm1 0.000 0.000 0.000
Pm2 0.331 0.331 0.333
Pm3 0.669 0.669 0.667
Zn1 0.394 0.394 0.724
Zn2 0.606 0.606 0.276
Ga1 0.065 0.065 0.401
Ga2 0.296 0.296 0.961
Ga3 0.704 0.704 0.039
Ga4 0.935 0.935 0.599
```

=====

Entry 9:
Below is a geometry-optimized Pm3ZnGa structure, with properties calculated at the GGA-PBE level.

Calculated values
formation enthalpy at 0 K: -1.52 eV/f.u.
total energy: -4.01 eV/atom
energy above the lowest structure with this stoichiometry: 0.037 eV/atom

CIF file:
```
data_Pm3ZnGa
_space_group_name_H-M_alt 'P 1'
_space_group_IT_number 1
_space_group_name_Hall 'P 1'
_cell_length_a 9.689
_cell_length_b 9.689
_cell_length_c 6.687
_cell_angle_alpha 92.56
_cell_angle_beta 92.56
_cell_angle_gamma 59.09
loop_
_atom_site_label
_atom_site_fract_x
_atom_site_fract_y
_atom_site_fract_z
Pm1 0.066 0.235 0.546
Pm2 0.187 0.693 0.991
Pm3 0.235 0.066 0.046
Pm4 0.289 0.398 0.500
Pm5 0.307 0.813 0.509
Pm6 0.398 0.289 0.000
Pm7 0.602 0.711 0.000
Pm8 0.693 0.187 0.491
Pm9 0.711 0.602 0.500
Pm10 0.765 0.934 0.954
Pm11 0.813 0.307 0.009
Pm12 0.934 0.765 0.454
Zn1 0.017 0.465 0.181
Zn2 0.465 0.017 0.681
Zn3 0.535 0.983 0.319
Zn4 0.983 0.535 0.819
Ga1 0.002 0.998 0.250
Ga2 0.498 0.502 0.750
Ga3 0.502 0.498 0.250
Ga4 0.998 0.002 0.750
```

=====

Entry 10:
Below is a geometry-optimized PmZn5Ga2 structure, with properties calculated at the GGA-PBE level.

Calculated values
formation enthalpy at 0 K: -2.05 eV/f.u.
total energy: -2.40 eV/atom

CIF file:
```
data_PmZn5Ga2
_space_group_name_H-M_alt 'P 1'
_space_group_IT_number 1
_space_group_name_Hall 'P 1'
_cell_length_a 6.413
_cell_length_b 6.413
_cell_length_c 6.413
_cell_angle_alpha 143.31
_cell_angle_beta 111.56
_cell_angle_gamma 80.25
loop_
_atom_site_label
_atom_site_fract_x
_atom_site_fract_y
_atom_site_fract_z
Pm1 0.000 0.000 0.000
Zn1 0.180 0.364 0.816
Zn2 0.453 0.636 0.816
Zn3 0.500 0.000 0.500
Zn4 0.547 0.364 0.184
Zn5 0.820 0.636 0.184
Ga1 0.243 0.743 0.500
Ga2 0.757 0.257 0.500
```